[1]
Entry from the Alexandria database: RbInTe4Pb2 after structural relaxation (PBE).

Unit cell a=9.324 b=9.324 c=9.324 alpha=120.78 beta=118.43 gamma=90.70
Atoms (fractional coordinates):
Rb: 0.500 0.000 0.000
Rb: 0.500 0.500 0.500
In: 0.000 0.000 0.000
In: 0.500 0.000 0.500
Te: 0.217 0.236 0.981
Te: 0.241 0.234 0.493
Te: 0.241 0.748 0.007
Te: 0.245 0.764 0.481
Te: 0.755 0.236 0.519
Te: 0.759 0.252 0.993
Te: 0.759 0.766 0.507
Te: 0.783 0.764 0.019
Pb: 0.000 0.000 0.500
Pb: 0.000 0.500 0.000
Pb: 0.000 0.500 0.500
Pb: 0.500 0.500 0.000

Summary:
Calculated volume: 36.01 A^3/atom
Total magnetization: 0.000 μB/atom
Formation energy from raw total energies: -0.385 eV per atom
Symmetry: Imma, No. 74

=====

[2]
Entry from the Alexandria database: RbInTe3Pb after structural relaxation (PBE).

Unit cell a=9.874 b=4.735 c=11.236 alpha=90.00 beta=108.26 gamma=90.00
Atoms (fractional coordinates):
Rb: 0.240 0.250 0.239
Rb: 0.760 0.750 0.761
In: 0.090 0.250 0.639
In: 0.910 0.750 0.361
Te: 0.071 0.250 0.877
Te: 0.199 0.750 0.545
Te: 0.493 0.750 0.179
Te: 0.507 0.250 0.821
Te: 0.801 0.250 0.455
Te: 0.929 0.750 0.123
Pb: 0.331 0.750 0.898
Pb: 0.669 0.250 0.102

Summary:
Calculated volume: 41.57 A^3/atom
Total magnetization: 0.000 μB/atom
Formation energy from raw total energies: -0.543 eV per atom
Symmetry: P2_1/m, No. 11

=====

[3]
Entry from the Alexandria database: RbInTePb2 after structural relaxation (PBE).

Unit cell a=6.222 b=6.222 c=6.194 alpha=90.00 beta=90.00 gamma=90.00
Atoms (fractional coordinates):
Rb: 0.000 0.000 0.000
In: 0.000 0.000 0.500
Te: 0.500 0.500 0.500
Pb: 0.000 0.500 0.000
Pb: 0.500 0.000 0.000

Summary:
Calculated volume: 47.95 A^3/atom
Total magnetization: 0.000 μB/atom
Formation energy from raw total energies: 1.007 eV per atom
Symmetry: P4/mmm, No. 123

=====

[4]
Entry from the Alexandria database: Rb2InTe4Pb after structural relaxation (PBE).

Unit cell a=7.438 b=7.438 c=7.438 alpha=105.30 beta=105.30 gamma=118.18
Atoms (fractional coordinates):
Rb: 0.000 0.500 0.500
Rb: 0.500 0.000 0.500
In: 0.000 0.000 0.000
Te: 0.053 0.408 0.000
Te: 0.408 0.053 0.000
Te: 0.592 0.592 0.645
Te: 0.947 0.947 0.355
Pb: 0.500 0.500 0.000

Summary:
Calculated volume: 38.91 A^3/atom
Total magnetization: 0.000 μB/atom
Formation energy from raw total energies: -0.615 eV per atom
Symmetry: I-42m, No. 121

=====

[5]
Entry from the Alexandria database: RbTiInPb2 after structural relaxation (PBE).

Unit cell a=5.499 b=5.499 c=5.561 alpha=90.00 beta=90.00 gamma=90.00
Atoms (fractional coordinates):
Rb: 0.000 0.000 0.000
Ti: 0.500 0.500 0.500
In: 0.500 0.500 0.000
Pb: 0.000 0.500 0.500
Pb: 0.500 0.000 0.500

Summary:
Calculated volume: 33.63 A^3/atom
Formation enthalpy at 0 K: 13 meV/atom
Total magnetization: 0.000 μB/atom
Symmetry: P4/mmm, No. 123

=====

[6]
Entry from the Alexandria database: RbTlIn2Pb2 after structural relaxation (PBE).

Unit cell a=5.371 b=5.371 c=8.412 alpha=90.00 beta=90.00 gamma=120.00
Atoms (fractional coordinates):
Rb: 0.000 0.000 0.000
Tl: 0.000 0.000 0.500
In: 0.333 0.667 0.649
In: 0.667 0.333 0.351
Pb: 0.333 0.667 0.266
Pb: 0.667 0.333 0.734

Summary:
Calculated volume: 35.02 A^3/atom
Formation enthalpy at 0 K: -53 meV/atom
Total magnetization: 0.000 μB/atom
Symmetry: P-3m1, No. 164

=====

[7]
Entry from the Alexandria database: Rb2Tl3In4Pb after structural relaxation (PBE).

Unit cell a=5.179 b=5.179 c=12.944 alpha=90.00 beta=90.00 gamma=90.00
Atoms (fractional coordinates):
Rb: 0.000 0.500 0.249
Rb: 0.500 0.000 0.751
Tl: 0.000 0.500 0.866
Tl: 0.500 0.000 0.134
Tl: 0.500 0.500 0.500
In: 0.000 0.000 0.000
In: 0.000 0.500 0.636
In: 0.500 0.000 0.364
In: 0.500 0.500 0.000
Pb: 0.000 0.000 0.500

Summary:
Calculated volume: 34.72 A^3/atom
Formation enthalpy at 0 K: -85 meV/atom
Total magnetization: 0.000 μB/atom
Symmetry: P-4m2, No. 115

=====

[8]
Entry from the Alexandria database: Rb2TlIn4Pb3 after structural relaxation (PBE).

Unit cell a=5.315 b=5.315 c=12.573 alpha=90.00 beta=90.00 gamma=90.00
Atoms (fractional coordinates):
Rb: 0.000 0.500 0.247
Rb: 0.500 0.000 0.753
Tl: 0.000 0.000 0.500
In: 0.000 0.000 0.000
In: 0.000 0.500 0.630
In: 0.500 0.000 0.370
In: 0.500 0.500 0.000
Pb: 0.000 0.500 0.869
Pb: 0.500 0.000 0.131
Pb: 0.500 0.500 0.500

Summary:
Calculated volume: 35.52 A^3/atom
Formation enthalpy at 0 K: -94 meV/atom
Total magnetization: 0.000 μB/atom
Symmetry: P-4m2, No. 115

=====

[9]
Entry from the Alexandria database: RbTlIn2Pb after structural relaxation (PBE).

Unit cell a=8.450 b=5.076 c=8.542 alpha=90.00 beta=107.24 gamma=90.00
Atoms (fractional coordinates):
Rb: 0.196 0.250 0.169
Rb: 0.804 0.750 0.831
Tl: 0.271 0.750 0.876
Tl: 0.729 0.250 0.124
In: 0.066 0.250 0.611
In: 0.448 0.250 0.760
In: 0.552 0.750 0.240
In: 0.934 0.750 0.389
Pb: 0.338 0.750 0.509
Pb: 0.662 0.250 0.491

Summary:
Calculated volume: 34.99 A^3/atom
Formation enthalpy at 0 K: -73 meV/atom
Total magnetization: 0.000 μB/atom
Symmetry: P2_1/m, No. 11

=====

[10]
Entry from the Alexandria database: Rb2Tl2InPb6 after structural relaxation (PBE).

Unit cell a=11.077 b=11.077 c=11.077 alpha=35.67 beta=35.67 gamma=35.67
Atoms (fractional coordinates):
Rb: 0.240 0.240 0.240
Rb: 0.760 0.760 0.760
Tl: 0.129 0.129 0.129
Tl: 0.871 0.871 0.871
In: 0.500 0.500 0.500
Pb: 0.211 0.211 0.705
Pb: 0.211 0.705 0.211
Pb: 0.295 0.789 0.789
Pb: 0.705 0.211 0.211
Pb: 0.789 0.295 0.789
Pb: 0.789 0.789 0.295

Summary:
Calculated volume: 37.55 A^3/atom
Formation enthalpy at 0 K: 28 meV/atom
Total magnetization: 0.000 μB/atom
Symmetry: R-3m, No. 166

=====

[11]
Entry from the Alexandria database: RbTl2In2Pb after structural relaxation (PBE).

Unit cell a=8.429 b=9.950 c=4.946 alpha=90.00 beta=90.00 gamma=90.00
Atoms (fractional coordinates):
Rb: 0.000 0.000 0.000
Rb: 0.500 0.500 0.500
Tl: 0.208 0.333 0.000
Tl: 0.292 0.833 0.500
Tl: 0.708 0.167 0.500
Tl: 0.792 0.667 0.000
In: 0.187 0.650 0.000
In: 0.313 0.150 0.500
In: 0.687 0.850 0.500
In: 0.813 0.350 0.000
Pb: 0.000 0.500 0.500
Pb: 0.500 0.000 0.000

Summary:
Calculated volume: 34.57 A^3/atom
Formation enthalpy at 0 K: -2 meV/atom
Total magnetization: 0.000 μB/atom
Symmetry: Pnnm, No. 58

=====

[12]
Entry from the Alexandria database: RbTl2InPb after structural relaxation (PBE).

Unit cell a=7.856 b=7.856 c=7.856 alpha=142.28 beta=142.28 gamma=54.40
Atoms (fractional coordinates):
Rb: 0.000 0.000 0.000
Tl: 0.388 0.388 0.000
Tl: 0.612 0.612 0.000
In: 0.250 0.750 0.500
Pb: 0.750 0.250 0.500

Summary:
Calculated volume: 36.04 A^3/atom
Formation enthalpy at 0 K: -61 meV/atom
Total magnetization: 0.000 μB/atom
Symmetry: I-4m2, No. 119

=====

[13]
Entry from the Alexandria database: Rb2Tl2InPb after structural relaxation (PBE).

Unit cell a=10.655 b=10.655 c=10.655 alpha=141.31 beta=55.65 gamma=141.60
Atoms (fractional coordinates):
Rb: 0.170 0.240 0.410
Rb: 0.330 0.740 0.070
Rb: 0.670 0.260 0.930
Rb: 0.830 0.760 0.590
Tl: 0.112 0.737 0.849
Tl: 0.388 0.237 0.624
Tl: 0.612 0.763 0.376
Tl: 0.888 0.263 0.151
In: 0.250 0.750 0.500
In: 0.750 0.250 0.500
Pb: 0.250 0.250 0.000
Pb: 0.750 0.750 0.000

Summary:
Calculated volume: 38.84 A^3/atom
Formation enthalpy at 0 K: -133 meV/atom
Total magnetization: 0.000 μB/atom
Symmetry: Ibam, No. 72

=====

[14]
Entry from the Alexandria database: RbTlInPb after structural relaxation (PBE).

Unit cell a=5.773 b=5.773 c=5.773 alpha=60.00 beta=60.00 gamma=60.00
Atoms (fractional coordinates):
Rb: 0.000 0.000 0.000
Tl: 0.750 0.750 0.750
In: 0.250 0.250 0.250
Pb: 0.500 0.500 0.500

Summary:
Calculated volume: 34.02 A^3/atom
Formation enthalpy at 0 K: 0 meV/atom
Energy above the most stable polymorph in this dataset: 0.074 eV per atom
Total magnetization: 0.000 μB/atom
Symmetry: F-43m, No. 216

=====

[15]
Entry from the Alexandria database: RbTlInPb after structural relaxation (PBE).

Unit cell a=7.464 b=7.464 c=7.464 alpha=40.01 beta=40.01 gamma=40.01
Atoms (fractional coordinates):
Rb: 0.000 0.000 0.000
Tl: 0.777 0.777 0.777
In: 0.504 0.504 0.504
Pb: 0.218 0.218 0.218

Summary:
Calculated volume: 38.73 A^3/atom
Formation enthalpy at 0 K: -74 meV/atom
Energy above the most stable polymorph in this dataset: 0.000 eV per atom
Total magnetization: 0.000 μB/atom
Symmetry: R3m, No. 160

=====

[16]
Entry from the Alexandria database: RbTlInPb2 after structural relaxation (PBE).

Unit cell a=7.826 b=7.826 c=7.826 alpha=141.53 beta=141.53 gamma=55.53
Atoms (fractional coordinates):
Rb: 0.000 0.000 0.000
Tl: 0.250 0.750 0.500
In: 0.750 0.250 0.500
Pb: 0.383 0.383 0.000
Pb: 0.617 0.617 0.000

Summary:
Calculated volume: 36.82 A^3/atom
Formation enthalpy at 0 K: -62 meV/atom
Total magnetization: 0.000 μB/atom
Symmetry: I-4m2, No. 119

=====

[17]
Entry from the Alexandria database: Rb2ZnIn3Pb4 after structural relaxation (PBE).

Unit cell a=5.249 b=5.249 c=12.470 alpha=90.00 beta=90.00 gamma=90.00
Atoms (fractional coordinates):
Rb: 0.000 0.500 0.242
Rb: 0.500 0.000 0.758
Zn: 0.500 0.500 0.000
In: 0.000 0.000 0.000
In: 0.000 0.500 0.636
In: 0.500 0.000 0.364
Pb: 0.000 0.000 0.500
Pb: 0.000 0.500 0.877
Pb: 0.500 0.000 0.123
Pb: 0.500 0.500 0.500

Summary:
Calculated volume: 34.36 A^3/atom
Formation enthalpy at 0 K: -69 meV/atom
Total magnetization: 0.000 μB/atom
Symmetry: P-4m2, No. 115

=====

[18]
Entry from the Alexandria database: RbZrIn2Pb after structural relaxation (PBE).

Unit cell a=5.958 b=5.958 c=5.709 alpha=90.00 beta=90.00 gamma=90.00
Atoms (fractional coordinates):
Rb: 0.000 0.000 0.000
Zr: 0.500 0.500 0.000
In: 0.000 0.500 0.500
In: 0.500 0.000 0.500
Pb: 0.500 0.500 0.500

Summary:
Calculated volume: 40.53 A^3/atom
Formation enthalpy at 0 K: 674 meV/atom
Total magnetization: 0.274 μB/atom
Symmetry: P4/mmm, No. 123

=====

[19]
Entry from the Alexandria database: InRePb after structural relaxation (PBE).

Unit cell a=3.224 b=3.224 c=7.261 alpha=90.00 beta=90.00 gamma=120.00
Atoms (fractional coordinates):
In: 0.000 0.000 0.000
Re: 0.333 0.667 0.708
Pb: 0.667 0.333 0.403

Summary:
Calculated volume: 21.79 A^3/atom
Formation enthalpy at 0 K: 754 meV/atom
Energy above the most stable polymorph in this dataset: 0.003 eV per atom
Total magnetization: 0.000 μB/atom
Symmetry: P3m1, No. 156

=====

[20]
Entry from the Alexandria database: In3RePb after structural relaxation (PBE).

Unit cell a=5.743 b=5.743 c=5.743 alpha=90.00 beta=90.00 gamma=90.00
Atoms (fractional coordinates):
In: 0.000 0.000 0.500
In: 0.000 0.500 0.000
In: 0.500 0.000 0.000
Re: 0.500 0.500 0.500
Pb: 0.000 0.000 0.000

Summary:
Calculated volume: 37.89 A^3/atom
Formation enthalpy at 0 K: 1711 meV/atom
Energy above the most stable polymorph in this dataset: 1.185 eV per atom
Total magnetization: 0.792 μB/atom
Symmetry: Pm-3m, No. 221

=====

[21]
Entry from the Alexandria database: InRePb after structural relaxation (PBE).

Unit cell a=8.240 b=8.115 c=3.006 alpha=81.77 beta=77.07 gamma=21.16
Atoms (fractional coordinates):
In: 0.000 0.000 0.000
Re: 0.361 0.361 0.639
Pb: 0.719 0.719 0.281

Summary:
Calculated volume: 23.16 A^3/atom
Formation enthalpy at 0 K: 828 meV/atom
Energy above the most stable polymorph in this dataset: 0.077 eV per atom
Total magnetization: 0.000 μB/atom
Symmetry: Fmm2, No. 42

=====

[22]
Entry from the Alexandria database: InRePb after structural relaxation (PBE).

Unit cell a=4.659 b=4.659 c=4.659 alpha=60.00 beta=60.00 gamma=60.00
Atoms (fractional coordinates):
In: 0.000 0.000 0.000
Re: 0.250 0.250 0.250
Pb: 0.500 0.500 0.500

Summary:
Calculated volume: 23.83 A^3/atom
Formation enthalpy at 0 K: 888 meV/atom
Energy above the most stable polymorph in this dataset: 0.137 eV per atom
Total magnetization: 0.026 μB/atom
Symmetry: F-43m, No. 216

=====

[23]
Entry from the Alexandria database: InRe4Pb after structural relaxation (PBE).

Unit cell a=5.374 b=5.374 c=5.374 alpha=60.00 beta=60.00 gamma=60.00
Atoms (fractional coordinates):
In: 0.000 0.000 0.000
Re: 0.375 0.375 0.375
Re: 0.375 0.375 0.876
Re: 0.375 0.876 0.375
Re: 0.876 0.375 0.375
Pb: 0.750 0.750 0.750

Summary:
Calculated volume: 18.29 A^3/atom
Formation enthalpy at 0 K: 759 meV/atom
Total magnetization: 0.000 μB/atom
Symmetry: F-43m, No. 216

=====

[24]
Entry from the Alexandria database: In3RePb after structural relaxation (PBE).

Unit cell a=5.258 b=5.258 c=5.258 alpha=90.00 beta=90.00 gamma=90.00
Atoms (fractional coordinates):
In: 0.000 0.000 0.500
In: 0.000 0.500 0.000
In: 0.500 0.000 0.000
Re: 0.000 0.000 0.000
Pb: 0.500 0.500 0.500

Summary:
Calculated volume: 29.07 A^3/atom
Formation enthalpy at 0 K: 526 meV/atom
Energy above the most stable polymorph in this dataset: 0.000 eV per atom
Total magnetization: 0.000 μB/atom
Symmetry: Pm-3m, No. 221

=====

[25]
Entry from the Alexandria database: In2RePb4 after structural relaxation (PBE).

Unit cell a=9.749 b=9.749 c=9.749 alpha=148.93 beta=148.93 gamma=44.51
Atoms (fractional coordinates):
In: 0.178 0.178 0.000
In: 0.822 0.822 0.000
Re: 0.500 0.500 0.000
Pb: 0.000 0.500 0.500
Pb: 0.347 0.347 0.000
Pb: 0.500 0.000 0.500
Pb: 0.653 0.653 0.000

Summary:
Calculated volume: 35.15 A^3/atom
Formation enthalpy at 0 K: 509 meV/atom
Total magnetization: 0.000 μB/atom
Symmetry: I4/mmm, No. 139

=====

[26]
Entry from the Alexandria database: InRePb after structural relaxation (PBE).

Unit cell a=6.984 b=6.984 c=6.984 alpha=153.25 beta=153.25 gamma=38.19
Atoms (fractional coordinates):
In: 0.000 0.000 0.000
Re: 0.376 0.376 0.000
Pb: 0.731 0.731 0.000

Summary:
Calculated volume: 22.97 A^3/atom
Formation enthalpy at 0 K: 795 meV/atom
Energy above the most stable polymorph in this dataset: 0.044 eV per atom
Total magnetization: 0.000 μB/atom
Symmetry: I4mm, No. 107